Record 1
Material: Ac2Rh2Au3
Method: DFT, PBE
State: relaxed

Summary:
formation enthalpy at 0 K: -0.59 eV/atom
relative energy among the computed polymorphs: 0 meV per atom
V: 160 Å³/cell
DOS at the Fermi energy: 3.5 states/eV/f.u.
final energy: -0.194 Ha/atom

abc: 4.2992 5.5750 7.3184
angles: 96.88 90.00 112.68
With the nearest neighbours (Å) after each atom.
Atoms (fractional coordinates):
Au 0.6889 0.3777 0.8828  2 Rh 2.85, 4 Au 2.93-3.09
Au 0.3111 0.6223 0.1172  2 Rh 2.85, 4 Au 2.93-3.09
Au 0.0000 0.0000 0.0000  2 Rh 2.80, 4 Au 3.09
Ac 0.6244 0.2488 0.3215  5 Rh 2.97-3.30, 2 Au 3.32
Ac 0.3756 0.7512 0.6785  5 Rh 2.97-3.30, 2 Au 3.32
Rh 0.0855 0.1709 0.6521  1 Rh 2.65, 3 Au 2.80-2.85, 1 Ac 2.97
Rh 0.9145 0.8291 0.3479  1 Rh 2.65, 3 Au 2.80-2.85, 1 Ac 2.97

=====

Record 2
Material: Ac2RhAu3
Method: DFT, PBE
State: relaxed

Summary:
formation enthalpy at 0 K: -0.73 eV/atom
V: 156 Å³/cell
DOS at the Fermi energy: 3.8 states/eV/f.u.
final energy: -0.182 Ha/atom

abc: 3.9754 4.9287 7.9825
angles: 90.00 90.00 90.00
With the nearest neighbours (Å) after each atom.
Atoms (fractional coordinates):
Ac 0.0000 0.0000 0.4936  8 Au 3.20-3.43, 4 Rh 3.48
Ac 0.0000 0.5000 0.0247  2 Rh 3.05, 4 Au 3.40
Rh 0.5000 0.5000 0.3139  3 Au 2.69-2.76
Au 0.5000 0.0000 0.1788  2 Rh 2.69, 1 Au 2.79
Au 0.5000 0.0000 0.8297  3 Au 2.79-2.81
Au 0.5000 0.5000 0.6594  1 Rh 2.76, 2 Au 2.81

=====

Record 3
Material: Ac3Rh4Au2
Method: DFT, PBE
State: relaxed

Summary:
formation enthalpy at 0 K: -0.59 eV/atom
V: 443 Å³/cell
DOS at the Fermi energy: 6.5 states/eV/f.u.
final energy: -0.219 Ha/atom

abc: 4.5076 4.5076 25.1932
angles: 90.00 90.00 120.00
With the nearest neighbours (Å) after each atom.
Atoms (fractional coordinates):
Au 0.0000 0.0000 0.5016  3 Rh 2.60
Au 0.0000 0.0000 0.8317  3 Rh 2.60
Au 0.0000 0.0000 0.1813  3 Au 2.71
Au 0.6667 0.3333 0.1518  3 Au 2.71
Ac 0.3333 0.6667 0.2599  6 Rh 3.23, 3 Au 3.27
Ac 0.3333 0.6667 0.0734  6 Rh 3.23, 3 Au 3.27
Ac 0.3333 0.6667 0.5882  9 Rh 3.27-3.40, 3 Au 3.40
Ac 0.3333 0.6667 0.7452  9 Rh 3.27-3.40, 3 Au 3.39
Ac 0.3333 0.6667 0.9179  9 Rh 3.28-3.38, 3 Au 3.39
Ac 0.3333 0.6667 0.4155  9 Rh 3.29-3.39, 3 Au 3.39
Rh 0.0000 0.0000 0.6667  3 Rh 2.60
Rh 0.6667 0.3333 0.8320  3 Au 2.60
Rh 0.6667 0.3333 0.9978  3 Rh 2.60
Rh 0.6667 0.3333 0.5016  3 Au 2.60
Rh 0.6667 0.3333 0.6667  3 Rh 2.60
Rh 0.6667 0.3333 0.3356  3 Rh 2.60
Rh 0.0000 0.0000 0.9974  3 Rh 2.60
Rh 0.0000 0.0000 0.3358  3 Rh 2.60